An optimized crystal structure of NdYZr, computed with GGA-PBE.

Output
- Calculated total energy: -6.444 eV/atom
- Energy of formation from the pure elements: 0.15 eV/atom
- Symmetry: No. 187

abc: 5.4403 5.4403 3.4225
angles: 90.00 90.00 120.00
Closest atoms and distances in Å follow each position.
Positions (direct):
Nd  0.0000  0.0000  0.0000  3 Zr 3.14, 2 Nd 3.42
Y  0.6667  0.3333  0.5000  2 Y 3.42, 6 Nd 3.58, 6 Zr 3.58
Zr  0.3333  0.6667  0.0000  3 Nd 3.14, 2 Zr 3.42



An optimized crystal structure of Nd2YZr, computed with GGA-PBE.

Output
- Calculated total energy: -5.969 eV/atom
- Energy of formation from the pure elements: 0.17 eV/atom
- Symmetry: No. 123

abc: 4.0833 4.0833 7.3782
angles: 90.00 90.00 90.00
Closest atoms and distances in Å follow each position.
Positions (direct):
Nd  0.0000  0.0000  0.2241  1 Nd 3.31, 4 Zr 3.33, 4 Y 3.53
Nd  0.0000  0.0000  0.7759  1 Nd 3.31, 4 Zr 3.33, 4 Y 3.53
Y  0.5000  0.5000  0.5000  8 Nd 3.53, 2 Zr 3.69
Zr  0.5000  0.5000  0.0000  8 Nd 3.33, 2 Y 3.69



An optimized crystal structure of NdYZr, computed with GGA-PBE.

Output
- Calculated total energy: -6.485 eV/atom
- Energy of formation from the pure elements: 0.11 eV/atom
- Symmetry: No. 107

abc: 3.4268 3.4268 15.1205
angles: 90.00 90.00 90.00
Closest atoms and distances in Å follow each position.
Positions (direct):
Nd  0.0000  0.0000  0.0000  4 Zr 3.42, 4 Nd 3.43, 4 Y 3.76
Nd  0.5000  0.5000  0.5000  4 Zr 3.42, 4 Nd 3.43, 4 Y 3.76
Y  0.0000  0.0000  0.6898  4 Zr 3.33, 4 Y 3.43
Y  0.5000  0.5000  0.1898  4 Zr 3.33, 4 Y 3.43
Zr  0.0000  0.0000  0.3408  4 Y 3.33, 4 Nd 3.42, 4 Zr 3.43
Zr  0.5000  0.5000  0.8408  4 Y 3.33, 4 Nd 3.42, 4 Zr 3.43



Q: Which value of energy of formation from the pure elements does entry 1 give?
A: 0.15 eV/atom